1.
Density functional theory data (PBE-GGA) for Na2Zn2Ag5Pb after structural relaxation.

Cell: 9.937 9.937 4.200 Å, 90.00 90.00 90.00°
Fractional coordinates of all 20 atoms:
Na 0.179 0.321 0.000
Na 0.321 0.821 0.000
Na 0.679 0.179 0.000
Na 0.821 0.679 0.000
Zn 0.115 0.615 0.000
Zn 0.385 0.115 0.000
Zn 0.615 0.885 0.000
Zn 0.885 0.385 0.000
Ag 0.000 0.500 0.500
Ag 0.069 0.787 0.500
Ag 0.213 0.069 0.500
Ag 0.287 0.569 0.500
Ag 0.431 0.287 0.500
Ag 0.500 0.000 0.500
Ag 0.569 0.713 0.500
Ag 0.713 0.431 0.500
Ag 0.787 0.931 0.500
Ag 0.931 0.213 0.500
Pb 0.000 0.000 0.000
Pb 0.500 0.500 0.000

Results
**M_tot**: 0.00 μB/cell
**N(E_F)**: 0.292 states/eV/atom
**Crystal system**: tetragonal
**Calculated total energy**: -2.330 eV/atom

---

2.
Density functional theory data (PBE-GGA) for NaAg8Pd4 after structural relaxation.

Cell: 9.448 9.448 9.448 Å, 35.54 35.54 35.54°
Fractional coordinates of all 13 atoms:
Na 0.000 0.000 0.000
Ag 0.241 0.747 0.747
Ag 0.243 0.243 0.243
Ag 0.253 0.253 0.759
Ag 0.253 0.759 0.253
Ag 0.747 0.241 0.747
Ag 0.747 0.747 0.241
Ag 0.757 0.757 0.757
Ag 0.759 0.253 0.253
Pd 0.000 0.500 0.500
Pd 0.500 0.000 0.500
Pd 0.500 0.500 0.000
Pd 0.500 0.500 0.500

Results
**M_tot**: 0.00 μB/cell
**N(E_F)**: 0.325 states/eV/atom
**Crystal system**: trigonal
**Calculated total energy**: -3.290 eV/atom

---

3.
Density functional theory data (PBE-GGA) for NaAg4Pd2 after structural relaxation.

Cell: 5.588 5.588 5.453 Å, 118.53 118.53 76.91°
Fractional coordinates of all 7 atoms:
Na 0.000 0.000 0.000
Ag 0.000 0.407 0.704
Ag 0.000 0.593 0.296
Ag 0.407 0.000 0.704
Ag 0.593 0.000 0.296
Pd 0.500 0.500 0.250
Pd 0.500 0.500 0.750

Results
**M_tot**: 0.00 μB/cell
**N(E_F)**: 0.233 states/eV/atom
**Crystal system**: monoclinic
**Calculated total energy**: -3.352 eV/atom

---

4.
Density functional theory data (PBE-GGA) for Na3AgPd8 after structural relaxation.

Cell: 9.284 9.284 9.284 Å, 33.42 33.42 33.42°
Fractional coordinates of all 12 atoms:
Na 0.000 0.000 0.000
Na 0.126 0.126 0.126
Na 0.624 0.624 0.624
Ag 0.500 0.500 0.500
Pd 0.062 0.062 0.561
Pd 0.062 0.561 0.062
Pd 0.065 0.563 0.563
Pd 0.313 0.313 0.313
Pd 0.561 0.062 0.062
Pd 0.563 0.065 0.563
Pd 0.563 0.563 0.065
Pd 0.813 0.813 0.813

Results
**M_tot**: 0.00 μB/cell
**N(E_F)**: 0.739 states/eV/atom
**Crystal system**: trigonal
**Calculated total energy**: -4.126 eV/atom